Entry 1:
A geometry-optimized K2TaAg structure, computed with PBE.

```
K2TaAg
1.0
12.7673 -0.0002 -0.0001
12.3709 3.1567 -0.0001
12.3709 1.5534 2.7481
K Ta Ag
2 1 1
Direct
0.7610 0.7610 0.7610 K
0.9861 0.9861 0.9861 K
0.5132 0.5132 0.5132 Ta
0.2397 0.2397 0.2397 Ag
```

Values from the calculation:
formation energy from the elements: 0.8947 eV per atom
energy: -13.3 eV for the cell shown
energy relative to the lowest polymorph listed for this composition: 0.096 eV per atom

Entry 2:
A geometry-optimized LiMg2Pd3 structure, computed with PBE.

```
LiMg2Pd3
1.0
4.4703 0.0000 0.0177
2.2352 6.6919 0.0088
-0.0243 0.0000 6.1103
Mg Pd Li
4 6 2
Direct
0.3335 0.3329 0.5000 Mg
0.0000 0.0000 0.0000 Mg
0.6665 0.6671 0.5000 Mg
0.0000 0.0000 0.5000 Mg
0.8315 0.3371 0.7575 Pd
0.1686 0.6629 0.7575 Pd
0.8314 0.3371 0.2425 Pd
0.5000 0.0000 0.2454 Pd
0.1685 0.6629 0.2425 Pd
0.5000 0.0000 0.7546 Pd
0.6669 0.6663 0.0000 Li
0.3331 0.3337 0.0000 Li
```

Values from the calculation:
formation energy from the elements: -0.6517 eV per atom
energy: -49.2 eV for the cell shown
energy relative to the lowest polymorph listed for this composition: 0.000 eV per atom